# 1
Crystalline LiNbCdPt at its relaxed geometry, computed with PBE.

a b c (Å): 4.508 4.508 4.508
angles (deg): 60.00 60.00 60.00
Sites, in units of the cell vectors:
Cd 0.500 0.500 0.500
Li 0.750 0.750 0.750
Nb 0.000 0.000 0.000
Pt 0.250 0.250 0.250

Calculated values
Final energy   -5.066 eV per atom
Total magnetic moment   0.0 μB per cell
V   16.2 Å³ per atom
Crystal system   cubic

# 2
Crystalline AgHgB4 at its relaxed geometry, computed with PBE.

a b c (Å): 5.329 5.329 5.329
angles (deg): 146.83 121.40 69.02
Sites, in units of the cell vectors:
Ag 0.000 0.000 0.000
B 0.077 0.746 0.331
B 0.585 0.254 0.331
B 0.415 0.746 0.669
B 0.923 0.254 0.669
Hg 0.500 0.500 0.000

Calculated values
Final energy   -4.317 eV per atom
V   11.6 Å³ per atom
Crystal system   orthorhombic

# 3
Crystalline Zr4NiGeC2 at its relaxed geometry, computed with PBE.

a b c (Å): 3.328 3.328 13.412
angles (deg): 90.00 90.00 120.00
Sites, in units of the cell vectors:
C 0.333 0.667 0.256
C 0.333 0.667 0.744
Ge 0.000 0.000 0.000
Ni 0.667 0.333 0.500
Zr 0.667 0.333 0.162
Zr 0.000 0.000 0.357
Zr 0.000 0.000 0.643
Zr 0.667 0.333 0.838

Calculated values
Final energy   -8.493 eV per atom
Total magnetic moment   0.0 μB per cell
V   16.1 Å³ per atom
Crystal system   hexagonal

# 4
Crystalline GeB2W3 at its relaxed geometry, computed with PBE.

a b c (Å): 3.180 3.180 17.667
angles (deg): 90.00 90.00 120.00
Sites, in units of the cell vectors:
B 0.333 0.667 0.074
B 0.333 0.667 0.426
B 0.667 0.333 0.574
B 0.667 0.333 0.926
Ge 0.000 0.000 0.250
Ge 0.000 0.000 0.750
W 0.000 0.000 0.000
W 0.667 0.333 0.140
W 0.667 0.333 0.360
W 0.000 0.000 0.500
W 0.333 0.667 0.640
W 0.333 0.667 0.860

Calculated values
Final energy   -9.557 eV per atom
Total magnetic moment   0.0 μB per cell
V   12.9 Å³ per atom
Crystal system   hexagonal

# 5
Crystalline HfNbCCl2 at its relaxed geometry, computed with PBE.

a b c (Å): 3.379 3.379 9.196
angles (deg): 90.00 90.00 120.00
Sites, in units of the cell vectors:
C 0.000 0.000 0.499
Cl 0.333 0.667 0.185
Cl 0.667 0.333 0.816
Hf 0.333 0.667 0.621
Nb 0.667 0.333 0.379

Calculated values
Final energy   -7.810 eV per atom
Total magnetic moment   0.0 μB per cell
V   18.2 Å³ per atom
Crystal system   trigonal

# 6
Crystalline Li4SiBiAu2 at its relaxed geometry, computed with PBE.

a b c (Å): 4.435 4.435 6.668
angles (deg): 90.00 90.00 90.00
Sites, in units of the cell vectors:
Au 0.500 0.000 0.301
Au 0.000 0.500 0.699
Bi 0.000 0.000 0.000
Li 0.500 0.500 0.000
Li 0.000 0.500 0.278
Li 0.000 0.000 0.500
Li 0.500 0.000 0.722
Si 0.500 0.500 0.500

Calculated values
Final energy   -3.428 eV per atom
V   16.4 Å³ per atom
Crystal system   tetragonal

# 7
Crystalline SrCuTe3Au at its relaxed geometry, computed with PBE.

a b c (Å): 6.757 6.757 11.321
angles (deg): 90.00 90.00 141.80
Sites, in units of the cell vectors:
Au 0.000 0.000 0.000
Au 0.000 0.000 0.500
Cu 0.452 0.548 0.250
Cu 0.548 0.452 0.750
Sr 0.763 0.237 0.250
Sr 0.237 0.763 0.750
Te 0.353 0.647 0.034
Te 0.056 0.944 0.250
Te 0.353 0.647 0.466
Te 0.647 0.353 0.534
Te 0.944 0.056 0.750
Te 0.647 0.353 0.966

Calculated values
Final energy   -3.515 eV per atom
V   26.6 Å³ per atom
Crystal system   orthorhombic

# 8
Crystalline BaLuAgS3 at its relaxed geometry, computed with PBE.

a b c (Å): 8.927 8.927 8.567
angles (deg): 102.46 102.46 26.04
Sites, in units of the cell vectors:
Ag 0.485 0.485 0.291
Ag 0.515 0.515 0.709
Ba 0.136 0.136 0.070
Ba 0.864 0.864 0.930
Lu 0.836 0.836 0.420
Lu 0.164 0.164 0.580
S 0.500 0.500 0.000
S 0.324 0.324 0.203
S 0.675 0.675 0.373
S 0.000 0.000 0.500
S 0.325 0.325 0.627
S 0.676 0.676 0.797

Calculated values
Final energy   -5.208 eV per atom
Total magnetic moment   0.0 μB per cell
V   24.4 Å³ per atom
Crystal system   monoclinic

# 9
Crystalline NaGeBPt at its relaxed geometry, computed with PBE.

a b c (Å): 4.362 4.362 4.362
angles (deg): 60.00 60.00 60.00
Sites, in units of the cell vectors:
B 0.250 0.250 0.250
Ge 0.000 0.000 0.000
Na 0.750 0.750 0.750
Pt 0.500 0.500 0.500

Calculated values
Final energy   -3.930 eV per atom
Total magnetic moment   0.0 μB per cell
V   14.7 Å³ per atom
Crystal system   cubic

# 10
Crystalline Rb2CoAs2 at its relaxed geometry, computed with PBE.

a b c (Å): 8.373 8.373 8.373
angles (deg): 127.96 70.28 136.24
Last column: magnetic moment on the atom in μB.
Sites, in units of the cell vectors:
As 0.410 0.843 0.254  0.07
As 0.090 0.343 0.433  0.07
As 0.910 0.657 0.567  0.07
As 0.590 0.157 0.746  0.07
Co 0.750 0.250 0.500  0.75
Co 0.250 0.750 0.500  0.75
Rb 0.852 0.159 0.011  0.01
Rb 0.648 0.659 0.307  0.01
Rb 0.352 0.341 0.693  0.01
Rb 0.148 0.841 0.989  0.01

Calculated values
Final energy   -3.925 eV per atom
Total magnetic moment   2.4 μB per cell
V   31.4 Å³ per atom
Crystal system   orthorhombic

# 11
Crystalline Tb2PrPb7 at its relaxed geometry, computed with PBE.

a b c (Å): 13.192 13.192 4.746
angles (deg): 90.00 90.00 159.15
Sites, in units of the cell vectors:
Pb 0.599 0.401 0.000
Pb 0.401 0.599 0.000
Pb 0.900 0.100 0.500
Pb 0.707 0.293 0.500
Pb 0.500 0.500 0.500
Pb 0.293 0.707 0.500
Pb 0.100 0.900 0.500
Pr 0.000 0.000 0.000
Tb 0.811 0.189 0.000
Tb 0.189 0.811 0.000

Calculated values
Final energy   -4.388 eV per atom
Total magnetic moment   0.0 μB per cell
V   29.4 Å³ per atom
Crystal system   orthorhombic

# 12
Crystalline Ba2Li3Si2Pd at its relaxed geometry, computed with PBE.

a b c (Å): 6.244 4.472 6.733
angles (deg): 90.00 90.21 90.00
Sites, in units of the cell vectors:
Ba 0.885 0.500 0.512
Ba 0.105 0.000 0.993
Li 0.588 0.000 0.190
Li 0.403 0.500 0.300
Li 0.405 0.500 0.700
Pd 0.592 0.000 0.808
Si 0.338 0.000 0.510
Si 0.683 0.500 0.985

Calculated values
Final energy   -3.572 eV per atom
V   23.5 Å³ per atom
Crystal system   monoclinic

# 13
Crystalline TaTlAuO3 at its relaxed geometry, computed with PBE.

a b c (Å): 10.995 3.104 12.109
angles (deg): 90.00 90.00 90.00
Sites, in units of the cell vectors:
Au 0.409 0.000 0.038
Au 0.909 0.500 0.462
Au 0.091 0.000 0.538
Au 0.591 0.500 0.962
O 0.201 0.000 0.056
O 0.975 0.500 0.085
O 0.769 0.000 0.152
O 0.269 0.500 0.348
O 0.475 0.000 0.415
O 0.701 0.500 0.444
O 0.299 0.000 0.556
O 0.525 0.500 0.585
O 0.731 0.000 0.652
O 0.231 0.500 0.848
O 0.025 0.000 0.915
O 0.799 0.500 0.944
Ta 0.865 0.000 0.032
Ta 0.365 0.500 0.468
Ta 0.635 0.000 0.532
Ta 0.135 0.500 0.968
Tl 0.587 0.500 0.220
Tl 0.087 0.000 0.280
Tl 0.913 0.500 0.720
Tl 0.413 0.000 0.780

Calculated values
Final energy   -7.027 eV per atom
Total magnetic moment   0.0 μB per cell
V   17.2 Å³ per atom
Crystal system   orthorhombic

# 14
Crystalline Cu2Ag3 at its relaxed geometry, computed with PBE.

a b c (Å): 6.872 2.844 8.190
angles (deg): 90.00 103.82 90.00
Sites, in units of the cell vectors:
Ag 0.701 0.500 0.088
Ag 0.111 0.500 0.276
Ag 0.805 0.000 0.405
Ag 0.500 0.500 0.507
Ag 0.189 0.000 0.610
Ag 0.296 0.500 0.916
Cu 0.415 0.000 0.205
Cu 0.887 0.500 0.715
Cu 0.610 0.000 0.798
Cu 0.986 0.000 0.980

Calculated values
Final energy   -3.100 eV per atom
V   15.5 Å³ per atom
Crystal system   monoclinic
Energy of formation   0.082 eV per atom

# 15
Crystalline AlCdOs2 at its relaxed geometry, computed with PBE.

a b c (Å): 4.450 4.450 4.450
angles (deg): 60.00 60.00 60.00
Last column: magnetic moment on the atom in μB.
Sites, in units of the cell vectors:
Al 0.500 0.500 0.500  0.01
Cd 0.250 0.250 0.250  0.01
Os 0.000 0.000 0.000  0.15
Os 0.750 0.750 0.750  0.10

Calculated values
Final energy   -6.300 eV per atom
Total magnetic moment   0.3 μB per cell
V   15.6 Å³ per atom
Crystal system   cubic

# 16
Crystalline NdZn3Pt4O12 at its relaxed geometry, computed with PBE.

a b c (Å): 6.636 6.636 6.636
angles (deg): 109.47 109.47 109.47
Sites, in units of the cell vectors:
Nd 0.000 0.000 0.000
O 0.830 0.301 0.131
O 0.301 0.471 0.170
O 0.699 0.869 0.170
O 0.471 0.170 0.301
O 0.131 0.830 0.301
O 0.170 0.301 0.471
O 0.830 0.699 0.529
O 0.869 0.170 0.699
O 0.529 0.830 0.699
O 0.301 0.131 0.830
O 0.699 0.529 0.830
O 0.170 0.699 0.869
Pt 0.500 0.000 0.000
Pt 0.000 0.500 0.000
Pt 0.000 0.000 0.500
Pt 0.500 0.500 0.500
Zn 0.500 0.500 0.000
Zn 0.500 0.000 0.500
Zn 0.000 0.500 0.500

Calculated values
Final energy   -5.628 eV per atom
Total magnetic moment   0.0 μB per cell
V   11.2 Å³ per atom
Crystal system   cubic

# 17
Crystalline DyMgCu at its relaxed geometry, computed with PBE.

a b c (Å): 4.684 4.684 4.684
angles (deg): 60.00 60.00 60.00
Sites, in units of the cell vectors:
Cu 0.250 0.250 0.250
Dy 0.750 0.750 0.750
Mg 0.000 0.000 0.000

Calculated values
Final energy   -2.837 eV per atom
Total magnetic moment   0.1 μB per cell
V   24.2 Å³ per atom
Crystal system   cubic

# 18
Crystalline CsYAgSe3 at its relaxed geometry, computed with PBE.

a b c (Å): 16.425 4.172 11.077
angles (deg): 90.00 90.00 90.00
Sites, in units of the cell vectors:
Ag 0.518 0.250 0.096
Ag 0.018 0.250 0.404
Ag 0.982 0.750 0.596
Ag 0.482 0.750 0.904
Cs 0.736 0.750 0.038
Cs 0.236 0.750 0.462
Cs 0.764 0.250 0.538
Cs 0.264 0.250 0.962
Se 0.912 0.250 0.083
Se 0.420 0.750 0.130
Se 0.132 0.250 0.235
Se 0.632 0.250 0.265
Se 0.920 0.750 0.370
Se 0.412 0.250 0.417
Se 0.588 0.750 0.583
Se 0.080 0.250 0.630
Se 0.368 0.750 0.735
Se 0.868 0.750 0.765
Se 0.580 0.250 0.870
Se 0.088 0.750 0.917
Y 0.024 0.750 0.155
Y 0.524 0.750 0.345
Y 0.476 0.250 0.655
Y 0.976 0.250 0.845

Calculated values
Final energy   -4.576 eV per atom
Total magnetic moment   0.1 μB per cell
V   31.6 Å³ per atom
Crystal system   orthorhombic